Compound: PrNdEuGa
Source: the Alexandria database
Functional: PBE
Structure: relaxed

Output
The calculation puts the calculated volume at 29.642 Å³ per atom. The total energy comes out at -93.1 eV for the cell shown. The total magnetic moment is 29.8 μB/cell. The density of states at the Fermi level comes out at 20.23 states/eV/cell.

```
data_PrNdEuGa
_cell_length_a 7.798
_cell_length_b 7.798
_cell_length_c 7.798
_cell_angle_alpha 90.00
_cell_angle_beta 90.00
_cell_angle_gamma 90.00
_space_group_name_H-M_alt 'F -4 3 m'
_space_group_IT_number 216
_space_group_name_Hall 'F -4 2 3'
loop_
_atom_site_label
_atom_site_type_symbol
_atom_site_fract_x
_atom_site_fract_y
_atom_site_fract_z
_atom_site_occupancy
Pr1 Pr 0.000 0.000 0.000 1
Nd1 Nd 0.000 0.000 0.500 1
Eu1 Eu 0.250 0.250 0.250 1
Ga1 Ga 0.250 0.250 0.750 1
```

Compound: NdEuGaPt
Source: the Alexandria database
Functional: PBE
Structure: relaxed

Output
The calculation puts the calculated volume at 24.462 Å³ per atom. The total energy comes out at -107.5 eV for the cell shown. The total magnetic moment is 27.7 μB/cell. The density of states at the Fermi level comes out at 25.33 states/eV/cell.

```
data_NdEuGaPt
_cell_length_a 7.315
_cell_length_b 7.315
_cell_length_c 7.315
_cell_angle_alpha 90.00
_cell_angle_beta 90.00
_cell_angle_gamma 90.00
_space_group_name_H-M_alt 'F -4 3 m'
_space_group_IT_number 216
_space_group_name_Hall 'F -4 2 3'
loop_
_atom_site_label
_atom_site_type_symbol
_atom_site_fract_x
_atom_site_fract_y
_atom_site_fract_z
_atom_site_occupancy
Nd1 Nd 0.000 0.000 0.000 1
Eu1 Eu 0.000 0.000 0.500 1
Ga1 Ga 0.250 0.250 0.750 1
Pt1 Pt 0.250 0.250 0.250 1
```

Compound: NdEuGaRu
Source: the Alexandria database
Functional: PBE
Structure: relaxed

Output
The calculation puts the calculated volume at 23.274 Å³ per atom. The total energy comes out at -112.1 eV for the cell shown. The total magnetic moment is 26.6 μB/cell. The density of states at the Fermi level comes out at 18.80 states/eV/cell.

```
data_NdEuGaRu
_cell_length_a 7.194
_cell_length_b 7.194
_cell_length_c 7.194
_cell_angle_alpha 90.00
_cell_angle_beta 90.00
_cell_angle_gamma 90.00
_space_group_name_H-M_alt 'F -4 3 m'
_space_group_IT_number 216
_space_group_name_Hall 'F -4 2 3'
loop_
_atom_site_label
_atom_site_type_symbol
_atom_site_fract_x
_atom_site_fract_y
_atom_site_fract_z
_atom_site_occupancy
Nd1 Nd 0.000 0.000 0.000 1
Eu1 Eu 0.000 0.000 0.500 1
Ga1 Ga 0.250 0.250 0.750 1
Ru1 Ru 0.250 0.250 0.250 1
```

Compound: NdEuGaSi
Source: the Alexandria database
Functional: PBE
Structure: relaxed

Output
The calculation puts the calculated volume at 24.769 Å³ per atom. As for the raw formation energy: -0.43 eV/atom. The total energy comes out at -100.9 eV for the cell shown. The total magnetic moment is 28.1 μB/cell. The density of states at the Fermi level comes out at 8.85 states/eV/cell.

```
data_NdEuGaSi
_cell_length_a 7.345
_cell_length_b 7.345
_cell_length_c 7.345
_cell_angle_alpha 90.00
_cell_angle_beta 90.00
_cell_angle_gamma 90.00
_space_group_name_H-M_alt 'F -4 3 m'
_space_group_IT_number 216
_space_group_name_Hall 'F -4 2 3'
loop_
_atom_site_label
_atom_site_type_symbol
_atom_site_fract_x
_atom_site_fract_y
_atom_site_fract_z
_atom_site_occupancy
Nd1 Nd 0.000 0.000 0.000 1
Eu1 Eu 0.000 0.000 0.500 1
Ga1 Ga 0.250 0.250 0.250 1
Si1 Si 0.250 0.250 0.750 1
```

Compound: NdSmEuGa
Source: the Alexandria database
Functional: PBE
Structure: relaxed

Output
The calculation puts the calculated volume at 28.946 Å³ per atom. The total energy comes out at -92.7 eV for the cell shown. The total magnetic moment is 30.1 μB/cell. The density of states at the Fermi level comes out at 21.12 states/eV/cell.

```
data_NdSmEuGa
_cell_length_a 7.737
_cell_length_b 7.737
_cell_length_c 7.737
_cell_angle_alpha 90.00
_cell_angle_beta 90.00
_cell_angle_gamma 90.00
_space_group_name_H-M_alt 'F -4 3 m'
_space_group_IT_number 216
_space_group_name_Hall 'F -4 2 3'
loop_
_atom_site_label
_atom_site_type_symbol
_atom_site_fract_x
_atom_site_fract_y
_atom_site_fract_z
_atom_site_occupancy
Nd1 Nd 0.000 0.000 0.000 1
Sm1 Sm 0.000 0.000 0.500 1
Eu1 Eu 0.250 0.250 0.250 1
Ga1 Ga 0.250 0.250 0.750 1
```

Compound: NdEuGaSn
Source: the Alexandria database
Functional: PBE
Structure: relaxed

Output
The calculation puts the calculated volume at 27.838 Å³ per atom. The total energy comes out at -97.1 eV for the cell shown. The total magnetic moment is 28.8 μB/cell. The density of states at the Fermi level comes out at 22.95 states/eV/cell.

```
data_NdEuGaSn
_cell_length_a 7.637
_cell_length_b 7.637
_cell_length_c 7.637
_cell_angle_alpha 90.00
_cell_angle_beta 90.00
_cell_angle_gamma 90.00
_space_group_name_H-M_alt 'F -4 3 m'
_space_group_IT_number 216
_space_group_name_Hall 'F -4 2 3'
loop_
_atom_site_label
_atom_site_type_symbol
_atom_site_fract_x
_atom_site_fract_y
_atom_site_fract_z
_atom_site_occupancy
Nd1 Nd 0.000 0.000 0.000 1
Eu1 Eu 0.000 0.000 0.500 1
Ga1 Ga 0.250 0.250 0.250 1
Sn1 Sn 0.250 0.250 0.750 1
```

Compound: NdEuTlGa
Source: the Alexandria database
Functional: PBE
Structure: relaxed

Output
The calculation puts the calculated volume at 28.344 Å³ per atom. The total energy comes out at -88.3 eV for the cell shown. The total magnetic moment is 29.9 μB/cell. The density of states at the Fermi level comes out at 36.72 states/eV/cell.

```
data_NdEuTlGa
_cell_length_a 7.683
_cell_length_b 7.683
_cell_length_c 7.683
_cell_angle_alpha 90.00
_cell_angle_beta 90.00
_cell_angle_gamma 90.00
_space_group_name_H-M_alt 'F -4 3 m'
_space_group_IT_number 216
_space_group_name_Hall 'F -4 2 3'
loop_
_atom_site_label
_atom_site_type_symbol
_atom_site_fract_x
_atom_site_fract_y
_atom_site_fract_z
_atom_site_occupancy
Nd1 Nd 0.000 0.000 0.000 1
Eu1 Eu 0.000 0.000 0.500 1
Tl1 Tl 0.250 0.250 0.750 1
Ga1 Ga 0.250 0.250 0.250 1
```

Compound: NdEuZnGa
Source: the Alexandria database
Functional: PBE
Structure: relaxed

Output
The calculation puts the calculated volume at 25.774 Å³ per atom. The total energy comes out at -83.7 eV for the cell shown. The total magnetic moment is 29.4 μB/cell. The density of states at the Fermi level comes out at 18.52 states/eV/cell.

```
data_NdEuZnGa
_cell_length_a 7.443
_cell_length_b 7.443
_cell_length_c 7.443
_cell_angle_alpha 90.00
_cell_angle_beta 90.00
_cell_angle_gamma 90.00
_space_group_name_H-M_alt 'F -4 3 m'
_space_group_IT_number 216
_space_group_name_Hall 'F -4 2 3'
loop_
_atom_site_label
_atom_site_type_symbol
_atom_site_fract_x
_atom_site_fract_y
_atom_site_fract_z
_atom_site_occupancy
Nd1 Nd 0.000 0.000 0.000 1
Eu1 Eu 0.000 0.000 0.500 1
Zn1 Zn 0.250 0.250 0.250 1
Ga1 Ga 0.250 0.250 0.750 1
```

Compound: EuGaNi
Source: the Alexandria database
Functional: PBE
Structure: relaxed

Output
The calculation puts the calculated volume at 19.280 Å³ per atom. The total energy comes out at -39.9 eV for the cell shown. The total magnetic moment is 14.1 μB/cell. The density of states at the Fermi level comes out at 7.47 states/eV/cell.

```
data_EuGaNi
_cell_length_a 3.262
_cell_length_b 3.262
_cell_length_c 10.869
_cell_angle_alpha 90.00
_cell_angle_beta 90.00
_cell_angle_gamma 90.00
_space_group_name_H-M_alt 'I 4 m m'
_space_group_IT_number 107
_space_group_name_Hall 'I 4 -2'
loop_
_atom_site_label
_atom_site_type_symbol
_atom_site_fract_x
_atom_site_fract_y
_atom_site_fract_z
_atom_site_occupancy
Eu1 Eu 0.000 0.000 0.000 1
Ga1 Ga 0.000 0.000 0.287 1
Ni1 Ni 0.000 0.000 0.697 1
```

Compound: EuGa2Ni
Source: the Alexandria database
Functional: PBE
Structure: relaxed

Output
The calculation puts the calculated volume at 20.218 Å³ per atom. The total energy comes out at -71.9 eV for the cell shown. The total magnetic moment is 22.3 μB/cell. The density of states at the Fermi level comes out at 19.68 states/eV/cell.

```
data_EuGa2Ni
_cell_length_a 4.1421
_cell_length_b 4.1421
_cell_length_c 16.3288
_cell_angle_alpha 90.00
_cell_angle_beta 90.00
_cell_angle_gamma 120.00
_space_group_name_H-M_alt 'R -3 m'
_space_group_IT_number 166
_space_group_name_Hall '-R 3 2"'
loop_
_atom_site_label
_atom_site_type_symbol
_atom_site_fract_x
_atom_site_fract_y
_atom_site_fract_z
_atom_site_occupancy
Eu1 Eu 0.0000 0.0000 0.0000 1
Ga1 Ga 0.0000 0.0000 0.2052 1
Ni1 Ni 0.0000 0.0000 0.5000 1
```

Compound: Eu2GaNi
Source: the Alexandria database
Functional: PBE
Structure: relaxed

Output
The calculation puts the calculated volume at 31.364 Å³ per atom. The total energy comes out at -86.0 eV for the cell shown. The total magnetic moment is 43.0 μB/cell. The density of states at the Fermi level comes out at 59.19 states/eV/cell.

```
data_Eu2GaNi
_cell_length_a 3.8358
_cell_length_b 3.8358
_cell_length_c 29.5370
_cell_angle_alpha 90.00
_cell_angle_beta 90.00
_cell_angle_gamma 120.00
_space_group_name_H-M_alt 'R -3 m'
_space_group_IT_number 166
_space_group_name_Hall '-R 3 2"'
loop_
_atom_site_label
_atom_site_type_symbol
_atom_site_fract_x
_atom_site_fract_y
_atom_site_fract_z
_atom_site_occupancy
Eu1 Eu 0.0000 0.0000 0.1085 1
Ga1 Ga 0.0000 0.0000 0.0000 1
Ni1 Ni 0.0000 0.0000 0.5000 1
```

Compound: EuGa2Ni
Source: the Alexandria database
Functional: PBE
Structure: relaxed

Output
The calculation puts the calculated volume at 18.150 Å³ per atom. The total energy comes out at -23.5 eV for the cell shown. The total magnetic moment is 7.0 μB/cell. The density of states at the Fermi level comes out at 2.20 states/eV/cell.

```
data_EuGa2Ni
_cell_length_a 3.171
_cell_length_b 3.171
_cell_length_c 7.220
_cell_angle_alpha 90.00
_cell_angle_beta 90.00
_cell_angle_gamma 90.00
_space_group_name_H-M_alt 'P 4/m m m'
_space_group_IT_number 123
_space_group_name_Hall '-P 4 2'
loop_
_atom_site_label
_atom_site_type_symbol
_atom_site_fract_x
_atom_site_fract_y
_atom_site_fract_z
_atom_site_occupancy
Eu1 Eu 0.000 0.000 0.000 1
Ga1 Ga 0.500 0.500 0.316 1
Ni1 Ni 0.000 0.000 0.500 1
```

Compound: Eu2GaNi
Source: the Alexandria database
Functional: PBE
Structure: relaxed

Output
The calculation puts the calculated volume at 23.712 Å³ per atom. The total energy comes out at -30.2 eV for the cell shown. The total magnetic moment is 14.0 μB/cell. The density of states at the Fermi level comes out at 12.47 states/eV/cell.

```
data_Eu2GaNi
_cell_length_a 3.657
_cell_length_b 3.657
_cell_length_c 7.091
_cell_angle_alpha 90.00
_cell_angle_beta 90.00
_cell_angle_gamma 90.00
_space_group_name_H-M_alt 'P 4/m m m'
_space_group_IT_number 123
_space_group_name_Hall '-P 4 2'
loop_
_atom_site_label
_atom_site_type_symbol
_atom_site_fract_x
_atom_site_fract_y
_atom_site_fract_z
_atom_site_occupancy
Eu1 Eu 0.000 0.000 0.236 1
Ga1 Ga 0.500 0.500 0.500 1
Ni1 Ni 0.500 0.500 0.000 1
```

Compound: PmEuGaNi
Source: the Alexandria database
Functional: PBE
Structure: relaxed

Output
The calculation puts the calculated volume at 23.326 Å³ per atom. The total energy comes out at -99.7 eV for the cell shown. The total magnetic moment is 27.4 μB/cell. The density of states at the Fermi level comes out at 26.18 states/eV/cell.

```
data_PmEuGaNi
_cell_length_a 7.200
_cell_length_b 7.200
_cell_length_c 7.200
_cell_angle_alpha 90.00
_cell_angle_beta 90.00
_cell_angle_gamma 90.00
_space_group_name_H-M_alt 'F -4 3 m'
_space_group_IT_number 216
_space_group_name_Hall 'F -4 2 3'
loop_
_atom_site_label
_atom_site_type_symbol
_atom_site_fract_x
_atom_site_fract_y
_atom_site_fract_z
_atom_site_occupancy
Pm1 Pm 0.000 0.000 0.000 1
Eu1 Eu 0.000 0.000 0.500 1
Ga1 Ga 0.250 0.250 0.750 1
Ni1 Ni 0.250 0.250 0.250 1
```

Compound: TbEuGaNi
Source: the Alexandria database
Functional: PBE
Structure: relaxed

Output
The calculation puts the calculated volume at 22.522 Å³ per atom. The total energy comes out at -99.5 eV for the cell shown. The total magnetic moment is 27.5 μB/cell. The density of states at the Fermi level comes out at 24.21 states/eV/cell.

```
data_TbEuGaNi
_cell_length_a 7.116
_cell_length_b 7.116
_cell_length_c 7.116
_cell_angle_alpha 90.00
_cell_angle_beta 90.00
_cell_angle_gamma 90.00
_space_group_name_H-M_alt 'F -4 3 m'
_space_group_IT_number 216
_space_group_name_Hall 'F -4 2 3'
loop_
_atom_site_label
_atom_site_type_symbol
_atom_site_fract_x
_atom_site_fract_y
_atom_site_fract_z
_atom_site_occupancy
Tb1 Tb 0.000 0.000 0.000 1
Eu1 Eu 0.000 0.000 0.500 1
Ga1 Ga 0.250 0.250 0.750 1
Ni1 Ni 0.250 0.250 0.250 1
```